Entry from Alexandria via LeMat-Bulk: a relaxed structure of Ba2PaFeO6 (PBE with a Hubbard U).

Unit cell a=4.3087 b=4.3087 c=8.4821 alpha=90.00 beta=90.00 gamma=90.00
Space group P4/mmm (No. 123)
Symmetry-distinct sites (fractional):
1 Ba 0.0000 0.0000 0.2117 (multiplicity 2)
2 Pa 0.5000 0.5000 0.5000 (multiplicity 1)
3 Fe 0.5000 0.5000 0.0000 (multiplicity 1)
4 O 0.0000 0.5000 0.0000 (multiplicity 2)
5 O 0.0000 0.5000 0.5000 (multiplicity 2)
6 O 0.5000 0.5000 0.2449 (multiplicity 2)

Properties
spin magnetization	5.00	μB/cell
final energy	-7.66	eV per atom